## A
This record from the Alexandria database describes a geometry-optimized DyYHoTh structure. The functional is GGA-PBE.

Computed properties:
crystal system = cubic
D(E_F) = 8.384 states/eV/f.u.
space group = F-43m (216)
size of the total moment = 0.00 μB/f.u.

```
data_DyYHoTh
_space_group_name_H-M_alt 'P 1'
_space_group_IT_number 1
_space_group_name_Hall 'P 1'
_cell_length_a 5.6673
_cell_length_b 5.6673
_cell_length_c 5.6673
_cell_angle_alpha 60.00
_cell_angle_beta 60.00
_cell_angle_gamma 60.00
loop_
_atom_site_label
_atom_site_fract_x
_atom_site_fract_y
_atom_site_fract_z
Dy1 0.0000 0.0000 0.0000
Y1 0.7500 0.7500 0.7500
Ho1 0.2500 0.2500 0.2500
Th1 0.5000 0.5000 0.5000
```



## B
This record from the Alexandria database describes a geometry-optimized DyYHoTh structure. The functional is GGA-PBE.

Computed properties:
crystal system = trigonal
D(E_F) = 6.184 states/eV/f.u.
space group = R3m (160)
size of the total moment = 0.35 μB/f.u.

```
data_DyYHoTh
_space_group_name_H-M_alt 'P 1'
_space_group_IT_number 1
_space_group_name_Hall 'P 1'
_cell_length_a 11.6015
_cell_length_b 11.6015
_cell_length_c 11.6015
_cell_angle_alpha 17.80
_cell_angle_beta 17.80
_cell_angle_gamma 17.80
loop_
_atom_site_label
_atom_site_fract_x
_atom_site_fract_y
_atom_site_fract_z
Dy1 0.0000 0.0000 0.0000
Y1 0.8318 0.8318 0.8318
Ho1 0.2500 0.2500 0.2500
Th1 0.4150 0.4150 0.4150
```



Verdict on stability: B comes out on top.



## A
This record from the Alexandria database describes a geometry-optimized DyHoTi structure. The functional is GGA-PBE.

Computed properties:
crystal system = monoclinic
D(E_F) = 4.348 states/eV/f.u.
space group = P2_1/m (11)
size of the total moment = 1.25 μB/f.u.

```
data_DyHoTi
_space_group_name_H-M_alt 'P 1'
_space_group_IT_number 1
_space_group_name_Hall 'P 1'
_cell_length_a 5.4893
_cell_length_b 3.5107
_cell_length_c 8.5873
_cell_angle_alpha 90.00
_cell_angle_beta 105.01
_cell_angle_gamma 90.00
loop_
_atom_site_label
_atom_site_fract_x
_atom_site_fract_y
_atom_site_fract_z
Dy1 0.2251 0.2500 0.4388
Dy2 0.7749 0.7500 0.5612
Ho1 0.3716 0.7500 0.8239
Ho2 0.6284 0.2500 0.1761
Ti1 0.1050 0.7500 0.1151
Ti2 0.8950 0.2500 0.8849
```



## B
This record from the Alexandria database describes a geometry-optimized DyHoTi structure. The functional is GGA-PBE.

Computed properties:
crystal system = hexagonal
D(E_F) = 4.118 states/eV/f.u.
space group = P-6m2 (187)
size of the total moment = 1.42 μB/f.u.

```
data_DyHoTi
_space_group_name_H-M_alt 'P 1'
_space_group_IT_number 1
_space_group_name_Hall 'P 1'
_cell_length_a 5.2258
_cell_length_b 5.2258
_cell_length_c 3.3022
_cell_angle_alpha 90.00
_cell_angle_beta 90.00
_cell_angle_gamma 120.00
loop_
_atom_site_label
_atom_site_fract_x
_atom_site_fract_y
_atom_site_fract_z
Dy1 0.0000 0.0000 0.0000
Ho1 0.6667 0.3333 0.5000
Ti1 0.3333 0.6667 0.0000
```



Verdict on stability: A comes out on top.



## A
This record from the Alexandria database describes a geometry-optimized Dy3Ho3Tl2 structure. The functional is GGA-PBE.

Computed properties:
crystal system = orthorhombic
D(E_F) = 10.546 states/eV/f.u.
space group = Pmmm (47)
size of the total moment = 1.48 μB/f.u.

```
data_Dy3Ho3Tl2
_space_group_name_H-M_alt 'P 1'
_space_group_IT_number 1
_space_group_name_Hall 'P 1'
_cell_length_a 4.8354
_cell_length_b 4.8382
_cell_length_c 9.6882
_cell_angle_alpha 90.00
_cell_angle_beta 90.00
_cell_angle_gamma 90.00
loop_
_atom_site_label
_atom_site_fract_x
_atom_site_fract_y
_atom_site_fract_z
Dy1 0.0000 0.0000 0.0000
Dy2 0.0000 0.0000 0.5000
Dy3 0.5000 0.5000 0.0000
Ho1 0.5000 0.0000 0.2503
Ho2 0.5000 0.0000 0.7497
Ho3 0.5000 0.5000 0.5000
Tl1 0.0000 0.5000 0.2505
Tl2 0.0000 0.5000 0.7495
```



## B
This record from the Alexandria database describes a geometry-optimized Dy3Ho3Tl2 structure. The functional is GGA-PBE.

Computed properties:
crystal system = orthorhombic
D(E_F) = 9.824 states/eV/f.u.
space group = Cmcm (63)
size of the total moment = 0.00 μB/f.u.

```
data_Dy3Ho3Tl2
_space_group_name_H-M_alt 'P 1'
_space_group_IT_number 1
_space_group_name_Hall 'P 1'
_cell_length_a 6.5014
_cell_length_b 6.5014
_cell_length_c 15.7062
_cell_angle_alpha 90.00
_cell_angle_beta 90.00
_cell_angle_gamma 133.11
loop_
_atom_site_label
_atom_site_fract_x
_atom_site_fract_y
_atom_site_fract_z
Dy1 0.0431 0.9569 0.7500
Dy2 0.1385 0.8615 0.0308
Dy3 0.1385 0.8615 0.4692
Dy4 0.8615 0.1385 0.5308
Dy5 0.8615 0.1385 0.9692
Dy6 0.9569 0.0431 0.2500
Ho1 0.2402 0.7598 0.2500
Ho2 0.4602 0.5398 0.1044
Ho3 0.4602 0.5398 0.3956
Ho4 0.5398 0.4602 0.6044
Ho5 0.5398 0.4602 0.8956
Ho6 0.7598 0.2402 0.7500
Tl1 0.2763 0.7237 0.6388
Tl2 0.2763 0.7237 0.8612
Tl3 0.7237 0.2763 0.1388
Tl4 0.7237 0.2763 0.3612
```



Verdict on stability: A comes out on top.



## A
This record from the Alexandria database describes a geometry-optimized Dy3HoTl3 structure. The functional is GGA-PBE.

Computed properties:
crystal system = cubic
D(E_F) = 9.635 states/eV/f.u.
space group = P2_13 (198)
size of the total moment = 0.00 μB/f.u.

```
data_Dy3HoTl3
_space_group_name_H-M_alt 'P 1'
_space_group_IT_number 1
_space_group_name_Hall 'P 1'
_cell_length_a 9.3248
_cell_length_b 9.3248
_cell_length_c 9.3248
_cell_angle_alpha 90.00
_cell_angle_beta 90.00
_cell_angle_gamma 90.00
loop_
_atom_site_label
_atom_site_fract_x
_atom_site_fract_y
_atom_site_fract_z
Dy1 0.0730 0.4270 0.5730
Dy2 0.1765 0.1765 0.1765
Dy3 0.1764 0.8236 0.3236
Dy4 0.3236 0.1764 0.8236
Dy5 0.3235 0.8235 0.6765
Dy6 0.4270 0.5730 0.0730
Dy7 0.5730 0.0730 0.4270
Dy8 0.6765 0.3235 0.8235
Dy9 0.6764 0.6764 0.6764
Dy10 0.8236 0.3236 0.1764
Dy11 0.8235 0.6765 0.3235
Dy12 0.9270 0.9270 0.9270
Ho1 0.0734 0.5734 0.9266
Ho2 0.4266 0.4266 0.4266
Ho3 0.5734 0.9266 0.0734
Ho4 0.9266 0.0734 0.5734
Tl1 0.0000 0.2505 0.8742
Tl2 0.0000 0.7505 0.6258
Tl3 0.1258 0.5000 0.2495
Tl4 0.2495 0.1258 0.5000
Tl5 0.2505 0.8742 0.0000
Tl6 0.3742 0.5000 0.7495
Tl7 0.5000 0.2495 0.1258
Tl8 0.5000 0.7495 0.3742
Tl9 0.6258 0.0000 0.7505
Tl10 0.7495 0.3742 0.5000
Tl11 0.7505 0.6258 0.0000
Tl12 0.8742 0.0000 0.2505
```



## B
This record from the Alexandria database describes a geometry-optimized Dy3HoTl3 structure. The functional is GGA-PBE.

Computed properties:
crystal system = hexagonal
D(E_F) = 5.573 states/eV/f.u.
space group = P6_3/m (176)
size of the total moment = 0.00 μB/f.u.

```
data_Dy3HoTl3
_space_group_name_H-M_alt 'P 1'
_space_group_IT_number 1
_space_group_name_Hall 'P 1'
_cell_length_a 9.3840
_cell_length_b 9.3840
_cell_length_c 5.2347
_cell_angle_alpha 90.00
_cell_angle_beta 90.00
_cell_angle_gamma 120.00
loop_
_atom_site_label
_atom_site_fract_x
_atom_site_fract_y
_atom_site_fract_z
Dy1 0.0028 0.2350 0.2500
Dy2 0.2322 0.9972 0.2500
Dy3 0.2350 0.2322 0.7500
Dy4 0.7650 0.7678 0.2500
Dy5 0.7678 0.0028 0.7500
Dy6 0.9972 0.7650 0.7500
Ho1 0.3333 0.6667 0.2500
Ho2 0.6667 0.3333 0.7500
Tl1 0.0723 0.4504 0.7500
Tl2 0.3781 0.9277 0.7500
Tl3 0.4504 0.3781 0.2500
Tl4 0.5496 0.6219 0.7500
Tl5 0.6219 0.0723 0.2500
Tl6 0.9277 0.5496 0.2500
```



Verdict on stability: A comes out on top.



## A
This record from the Alexandria database describes a geometry-optimized Dy2HoTl structure. The functional is GGA-PBE.

Computed properties:
crystal system = tetragonal
D(E_F) = 5.230 states/eV/f.u.
space group = P4/mmm (123)
size of the total moment = 0.76 μB/f.u.

```
data_Dy2HoTl
_space_group_name_H-M_alt 'P 1'
_space_group_IT_number 1
_space_group_name_Hall 'P 1'
_cell_length_a 4.8415
_cell_length_b 4.8415
_cell_length_c 4.8443
_cell_angle_alpha 90.00
_cell_angle_beta 90.00
_cell_angle_gamma 90.00
loop_
_atom_site_label
_atom_site_fract_x
_atom_site_fract_y
_atom_site_fract_z
Dy1 0.0000 0.5000 0.0000
Dy2 0.5000 0.0000 0.0000
Ho1 0.0000 0.0000 0.5000
Tl1 0.5000 0.5000 0.5000
```



## B
This record from the Alexandria database describes a geometry-optimized Dy2HoTl structure. The functional is GGA-PBE.

Computed properties:
crystal system = tetragonal
D(E_F) = 5.178 states/eV/f.u.
space group = P4/mmm (123)
size of the total moment = 0.00 μB/f.u.

```
data_Dy2HoTl
_space_group_name_H-M_alt 'P 1'
_space_group_IT_number 1
_space_group_name_Hall 'P 1'
_cell_length_a 3.6034
_cell_length_b 3.6034
_cell_length_c 9.1592
_cell_angle_alpha 90.00
_cell_angle_beta 90.00
_cell_angle_gamma 90.00
loop_
_atom_site_label
_atom_site_fract_x
_atom_site_fract_y
_atom_site_fract_z
Dy1 0.0000 0.0000 0.2305
Dy2 0.0000 0.0000 0.7695
Ho1 0.5000 0.5000 0.5000
Tl1 0.5000 0.5000 0.0000
```



Verdict on stability: A comes out on top.



## A
This record from the Alexandria database describes a geometry-optimized Dy2HoTl structure. The functional is GGA-PBE.

Computed properties:
crystal system = trigonal
D(E_F) = 5.525 states/eV/f.u.
space group = R3m (160)
size of the total moment = 1.46 μB/f.u.

```
data_Dy2HoTl
_space_group_name_H-M_alt 'P 1'
_space_group_IT_number 1
_space_group_name_Hall 'P 1'
_cell_length_a 5.4544
_cell_length_b 5.4544
_cell_length_c 5.4544
_cell_angle_alpha 60.02
_cell_angle_beta 60.02
_cell_angle_gamma 60.02
loop_
_atom_site_label
_atom_site_fract_x
_atom_site_fract_y
_atom_site_fract_z
Dy1 0.0000 0.0000 0.0000
Dy2 0.2494 0.2494 0.2494
Ho1 0.7504 0.7504 0.7504
Tl1 0.5000 0.5000 0.5000
```



## B
This record from the Alexandria database describes a geometry-optimized Dy2HoTl structure. The functional is GGA-PBE.

Computed properties:
crystal system = cubic
D(E_F) = 5.506 states/eV/f.u.
space group = Fm-3m (225)
size of the total moment = 1.44 μB/f.u.

```
data_Dy2HoTl
_space_group_name_H-M_alt 'P 1'
_space_group_IT_number 1
_space_group_name_Hall 'P 1'
_cell_length_a 5.4560
_cell_length_b 5.4560
_cell_length_c 5.4560
_cell_angle_alpha 60.00
_cell_angle_beta 60.00
_cell_angle_gamma 60.00
loop_
_atom_site_label
_atom_site_fract_x
_atom_site_fract_y
_atom_site_fract_z
Dy1 0.2500 0.2500 0.2500
Dy2 0.7500 0.7500 0.7500
Ho1 0.0000 0.0000 0.0000
Tl1 0.5000 0.5000 0.5000
```



## C
This record from the Alexandria database describes a geometry-optimized Dy2HoTl structure. The functional is GGA-PBE.

Computed properties:
crystal system = monoclinic
D(E_F) = 3.840 states/eV/f.u.
space group = P2_1/m (11)
size of the total moment = 0.00 μB/f.u.

```
data_Dy2HoTl
_space_group_name_H-M_alt 'P 1'
_space_group_IT_number 1
_space_group_name_Hall 'P 1'
_cell_length_a 6.7138
_cell_length_b 5.3162
_cell_length_c 6.7170
_cell_angle_alpha 90.00
_cell_angle_beta 101.09
_cell_angle_gamma 90.00
loop_
_atom_site_label
_atom_site_fract_x
_atom_site_fract_y
_atom_site_fract_z
Dy1 0.0962 0.2500 0.4175
Dy2 0.2269 0.7500 0.1349
Dy3 0.7731 0.2500 0.8651
Dy4 0.9038 0.7500 0.5825
Ho1 0.4242 0.7500 0.6625
Ho2 0.5758 0.2500 0.3375
Tl1 0.2598 0.2500 0.8871
Tl2 0.7402 0.7500 0.1129
```



## D
This record from the Alexandria database describes a geometry-optimized Dy2HoTl structure. The functional is GGA-PBE.

Computed properties:
crystal system = orthorhombic
D(E_F) = 5.132 states/eV/f.u.
space group = Cmcm (63)
size of the total moment = 0.00 μB/f.u.

```
data_Dy2HoTl
_space_group_name_H-M_alt 'P 1'
_space_group_IT_number 1
_space_group_name_Hall 'P 1'
_cell_length_a 6.6439
_cell_length_b 6.6439
_cell_length_c 10.2553
_cell_angle_alpha 90.00
_cell_angle_beta 90.00
_cell_angle_gamma 148.34
loop_
_atom_site_label
_atom_site_fract_x
_atom_site_fract_y
_atom_site_fract_z
Dy1 0.1304 0.8696 0.5316
Dy2 0.1304 0.8696 0.9684
Dy3 0.8696 0.1304 0.0316
Dy4 0.8696 0.1304 0.4684
Ho1 0.4608 0.5392 0.7500
Ho2 0.5392 0.4608 0.2500
Tl1 0.2546 0.7454 0.2500
Tl2 0.7454 0.2546 0.7500
```



Verdict on stability: C comes out on top.



## A
This record from the Alexandria database describes a geometry-optimized Dy4HoTl structure. The functional is GGA-PBE.

Computed properties:
crystal system = tetragonal
D(E_F) = 7.009 states/eV/f.u.
space group = P4/mmm (123)
size of the total moment = 0.00 μB/f.u.

```
data_Dy4HoTl
_space_group_name_H-M_alt 'P 1'
_space_group_IT_number 1
_space_group_name_Hall 'P 1'
_cell_length_a 3.5756
_cell_length_b 3.5756
_cell_length_c 14.2310
_cell_angle_alpha 90.00
_cell_angle_beta 90.00
_cell_angle_gamma 90.00
loop_
_atom_site_label
_atom_site_fract_x
_atom_site_fract_y
_atom_site_fract_z
Dy1 0.0000 0.0000 0.1503
Dy2 0.0000 0.0000 0.8497
Dy3 0.5000 0.5000 0.3253
Dy4 0.5000 0.5000 0.6747
Ho1 0.0000 0.0000 0.5000
Tl1 0.5000 0.5000 0.0000
```



## B
This record from the Alexandria database describes a geometry-optimized Dy4HoTl structure. The functional is GGA-PBE.

Computed properties:
crystal system = monoclinic
D(E_F) = 7.041 states/eV/f.u.
space group = C2/c (15)
size of the total moment = 0.00 μB/f.u.

```
data_Dy4HoTl
_space_group_name_H-M_alt 'P 1'
_space_group_IT_number 1
_space_group_name_Hall 'P 1'
_cell_length_a 8.2513
_cell_length_b 8.2513
_cell_length_c 6.4376
_cell_angle_alpha 99.70
_cell_angle_beta 99.70
_cell_angle_gamma 116.73
loop_
_atom_site_label
_atom_site_fract_x
_atom_site_fract_y
_atom_site_fract_z
Dy1 0.0945 0.7134 0.9595
Dy2 0.1609 0.4116 0.6191
Dy3 0.2866 0.9055 0.5405
Dy4 0.4116 0.1609 0.1191
Dy5 0.5884 0.8391 0.8809
Dy6 0.7134 0.0945 0.4595
Dy7 0.8391 0.5884 0.3809
Dy8 0.9055 0.2866 0.0405
Ho1 0.4106 0.5894 0.2500
Ho2 0.5894 0.4106 0.7500
Tl1 0.0000 0.0000 0.2500
Tl2 0.0000 0.0000 0.7500
```



Verdict on stability: A comes out on top.



## A
This record from the Alexandria database describes a geometry-optimized Dy6HoTl2 structure. The functional is GGA-PBE.

Computed properties:
crystal system = monoclinic
D(E_F) = 10.422 states/eV/f.u.
space group = C2/c (15)
size of the total moment = 0.00 μB/f.u.

```
data_Dy6HoTl2
_space_group_name_H-M_alt 'P 1'
_space_group_IT_number 1
_space_group_name_Hall 'P 1'
_cell_length_a 9.5889
_cell_length_b 9.5889
_cell_length_c 6.0901
_cell_angle_alpha 94.73
_cell_angle_beta 94.73
_cell_angle_gamma 73.62
loop_
_atom_site_label
_atom_site_fract_x
_atom_site_fract_y
_atom_site_fract_z
Dy1 0.0713 0.8165 0.9881
Dy2 0.1453 0.4012 0.1645
Dy3 0.1835 0.9287 0.5119
Dy4 0.2335 0.5254 0.6892
Dy5 0.4012 0.1453 0.6645
Dy6 0.4746 0.7665 0.8108
Dy7 0.5254 0.2335 0.1892
Dy8 0.5988 0.8547 0.3355
Dy9 0.7665 0.4746 0.3108
Dy10 0.8165 0.0713 0.4881
Dy11 0.8547 0.5988 0.8355
Dy12 0.9287 0.1835 0.0119
Ho1 0.3990 0.6010 0.2500
Ho2 0.6010 0.3990 0.7500
Tl1 0.0371 0.2812 0.5867
Tl2 0.2812 0.0371 0.0867
Tl3 0.7188 0.9629 0.9133
Tl4 0.9629 0.7188 0.4133
```



## B
This record from the Alexandria database describes a geometry-optimized Dy6HoTl2 structure. The functional is GGA-PBE.

Computed properties:
crystal system = monoclinic
D(E_F) = 11.467 states/eV/f.u.
space group = C2/m (12)
size of the total moment = 0.00 μB/f.u.

```
data_Dy6HoTl2
_space_group_name_H-M_alt 'P 1'
_space_group_IT_number 1
_space_group_name_Hall 'P 1'
_cell_length_a 6.6546
_cell_length_b 6.6546
_cell_length_c 11.9229
_cell_angle_alpha 107.29
_cell_angle_beta 107.29
_cell_angle_gamma 32.59
loop_
_atom_site_label
_atom_site_fract_x
_atom_site_fract_y
_atom_site_fract_z
Dy1 0.0143 0.0143 0.3450
Dy2 0.3095 0.3095 0.4144
Dy3 0.3155 0.3155 0.1240
Dy4 0.6845 0.6845 0.8760
Dy5 0.6905 0.6905 0.5856
Dy6 0.9857 0.9857 0.6550
Ho1 0.0000 0.0000 0.0000
Tl1 0.3606 0.3606 0.7956
Tl2 0.6394 0.6394 0.2044
```



Verdict on stability: B comes out on top.